1.
Computed, not measured: a relaxed YCdSCl2 crystal at the PBE level of DFT.

Calculated values
Final energy in Ha/atom: -0.1585
Formation energy without anion corrections in eV/atom: -1.2724
Size of the total moment in μB/atom: 0.000
D(E_F) in states/eV per atom: 0.4248

abc: 5.2388 5.2388 5.3917
angles: 90.00 90.00 90.00
Sites, in units of the cell vectors:
Y 0.0000 0.0000 0.0000
Cd 0.5000 0.5000 0.5000
S 0.0000 0.0000 0.5000
Cl 0.0000 0.5000 0.0000
Cl 0.5000 0.0000 0.0000

=====

2.
Computed, not measured: a relaxed CdAgHg2F8 crystal at the PBE level of DFT.

Calculated values
Final energy in Ha/atom: -0.1122
Formation energy without anion corrections in eV/atom: -1.4421
Size of the total moment in μB/atom: 0.072
D(E_F) in states/eV per atom: 0.1427

abc: 6.4347 6.4347 6.4347
angles: 113.76 113.76 101.20
Sites, in units of the cell vectors:
Cd 0.0000 0.0000 0.0000
Ag 0.2500 0.7500 0.5000
Hg 0.5000 0.5000 0.0000
Hg 0.7500 0.2500 0.5000
F 0.2813 0.0901 0.8088
F 0.2813 0.4725 0.1912
F 0.3464 0.0368 0.3096
F 0.5275 0.7187 0.8088
F 0.7273 0.0368 0.6904
F 0.9099 0.7187 0.1912
F 0.9632 0.2727 0.3096
F 0.9632 0.6536 0.6904

=====

3.
Computed, not measured: a relaxed LaTaTe2 crystal at the PBE level of DFT.

Calculated values
Final energy in Ha/atom: -0.2259
Formation energy without anion corrections in eV/atom: -0.3810
Size of the total moment in μB/atom: 0.000
D(E_F) in states/eV per atom: 0.7140

abc: 3.9280 3.9280 7.0074
angles: 90.00 90.00 90.00
Sites, in units of the cell vectors:
La 0.0000 0.0000 0.0000
Ta 0.5000 0.5000 0.3316
Te 0.0000 0.0000 0.4660
Te 0.5000 0.5000 0.7810

=====

4.
Computed, not measured: a relaxed EuHo3 crystal at the PBE level of DFT.

Calculated values
Final energy in Ha/atom: -0.2170
Size of the total moment in μB/atom: 1.793
D(E_F) in states/eV per atom: 1.5270
Formation energy in eV/atom: 0.0972

abc: 5.0663 5.0663 5.0663
angles: 90.00 90.00 90.00
Sites, in units of the cell vectors:
Eu 0.0000 0.0000 0.0000
Ho 0.0000 0.5000 0.5000
Ho 0.5000 0.0000 0.5000
Ho 0.5000 0.5000 0.0000

=====

5.
Computed, not measured: a relaxed Na2BeInSi crystal at the PBE level of DFT.

Calculated values
Final energy in Ha/atom: -0.0943
Formation energy without anion corrections in eV/atom: 0.3396
Size of the total moment in μB/atom: 0.000
D(E_F) in states/eV per atom: 0.5639

abc: 5.6523 5.6523 4.1466
angles: 90.00 90.00 90.00
Sites, in units of the cell vectors:
Na 0.0000 0.5000 0.0000
Na 0.5000 0.0000 0.0000
Be 0.0000 0.0000 0.5000
In 0.5000 0.5000 0.5000
Si 0.0000 0.0000 0.0000

=====

6.
Computed, not measured: a relaxed Cs2K3Ga2Au4 crystal at the PBE level of DFT.

Calculated values
Final energy in Ha/atom: -0.0876
Size of the total moment in μB/atom: 0.000
D(E_F) in states/eV per atom: 0.4029
Formation energy in eV/atom: -0.1869

abc: 14.6087 14.6087 14.6087
angles: 159.07 159.07 29.77
Sites, in units of the cell vectors:
Cs 0.1781 0.1781 0.0000
Cs 0.8219 0.8219 0.0000
K 0.3638 0.3638 0.0000
K 0.5000 0.5000 0.0000
K 0.6362 0.6362 0.0000
Ga 0.0478 0.0478 0.0000
Ga 0.9522 0.9522 0.0000
Au 0.0717 0.5717 0.5000
Au 0.4283 0.9283 0.5000
Au 0.5717 0.0717 0.5000
Au 0.9283 0.4283 0.5000

=====

Question: Number 4 is which compound?
Answer: EuHo3

=====

Please write out number 4 again, unchanged.
Computed, not measured: a relaxed EuHo3 crystal at the PBE level of DFT.

Calculated values
Final energy in Ha/atom: -0.2170
Size of the total moment in μB/atom: 1.793
D(E_F) in states/eV per atom: 1.5270
Formation energy in eV/atom: 0.0972

abc: 5.0663 5.0663 5.0663
angles: 90.00 90.00 90.00
Sites, in units of the cell vectors:
Eu 0.0000 0.0000 0.0000
Ho 0.0000 0.5000 0.5000
Ho 0.5000 0.0000 0.5000
Ho 0.5000 0.5000 0.0000

=====

Question: Which of these has the lowest D(E_F)?
Answer: CdAgHg2F8

=====

Question: What is the final energy in the first record?
Answer: -0.1585 Ha/atom